Entry 1:
Computed, not measured: a relaxed LiSiAu4 crystal at the PBEsol level of DFT.

Calculated values
The calculation puts the energy relative to the elements, uncorrected at 9.3 kJ/mol of atoms. The total energy comes out at -22.8 eV for the cell shown. As for the calculated volume: 18.505 Å³ per atom.

Cell: 5.3949 5.3949 5.3949 Å, 60.00 60.00 60.00°
Last column: nearest neighbours and their distance in Å.
Sites, in units of the cell vectors:
Au1 0.3751 0.3751 0.3751  6 Au 2.70
Au2 0.3751 0.3751 0.8747  6 Au 2.70
Au3 0.8747 0.3751 0.3751  6 Au 2.70
Au4 0.3751 0.8747 0.3751  6 Au 2.70
Li1 0.7500 0.7500 0.7500  12 Au 3.16, 4 Si 3.30
Si1 0.0000 0.0000 0.0000  12 Au 3.16, 4 Li 3.30


Entry 2:
Computed, not measured: a relaxed Li2SiAu crystal at the PBEsol level of DFT.

Calculated values
The calculation puts the energy relative to the elements, uncorrected at -5.8 kJ/mol of atoms. The total energy comes out at -27.7 eV for the cell shown. As for the calculated volume: 16.068 Å³ per atom.

Cell: 4.9389 5.6679 5.6679 Å, 79.06 64.17 64.17°
Last column: nearest neighbours and their distance in Å.
Sites, in units of the cell vectors:
Si1 0.2500 0.5000 0.5000  2 Au 2.47, 4 Li 2.66
Si2 0.5000 0.0000 0.0000  2 Au 2.47, 4 Li 2.66
Au1 0.7500 0.5000 0.5000  2 Si 2.47, 4 Li 2.59
Au2 0.0000 0.0000 0.0000  2 Si 2.47, 4 Li 2.59
Li1 0.1182 0.0068 0.5068  2 Li 2.47, 2 Au 2.59, 2 Si 2.66
Li2 0.6318 0.9932 0.4932  2 Li 2.47, 2 Au 2.59, 2 Si 2.66
Li3 0.3750 0.5068 0.9932  2 Li 2.47, 2 Au 2.59, 2 Si 2.66
Li4 0.8750 0.4932 0.0068  2 Li 2.47, 2 Au 2.59, 2 Si 2.66


Entry 3:
Computed, not measured: a relaxed LiSiAu2 crystal at the PBEsol level of DFT.

Calculated values
The calculation puts the energy relative to the elements, uncorrected at -14.3 kJ/mol of atoms. The total energy comes out at -16.2 eV for the cell shown. As for the calculated volume: 15.629 Å³ per atom.

Cell: 4.4549 4.4549 4.4549 Å, 60.00 60.00 60.00°
Last column: nearest neighbours and their distance in Å.
Sites, in units of the cell vectors:
Au1 0.0000 0.0000 0.0000  4 Si 2.73, 4 Au 2.73
Au2 0.7500 0.7500 0.7500  4 Li 2.73, 4 Au 2.73
Li1 0.5000 0.5000 0.5000  4 Si 2.73, 4 Au 2.73
Si1 0.2500 0.2500 0.2500  4 Li 2.73, 4 Au 2.73


Entry 4:
Computed, not measured: a relaxed LiSiAu2 crystal at the PBEsol level of DFT.

Calculated values
The calculation puts the energy relative to the elements, uncorrected at -28.7 kJ/mol of atoms. The total energy comes out at -16.8 eV for the cell shown. As for the calculated volume: 15.026 Å³ per atom.

Cell: 3.3738 4.2365 4.6869 Å, 104.83 111.10 90.00°
Last column: nearest neighbours and their distance in Å.
Sites, in units of the cell vectors:
Si1 0.2593 0.7987 0.5186  7 Au 2.56-2.72, 1 Li 2.81
Au1 0.9933 0.9426 0.9866  3 Si 2.56-2.59, 4 Li 2.65-2.76
Au2 0.7532 0.2993 0.5065  3 Li 2.54-2.64, 4 Si 2.69-2.72
Li1 0.4941 0.4595 0.9883  7 Au 2.54-2.76, 1 Si 2.81


Entry 5:
Computed, not measured: a relaxed LiSiAu2 crystal at the PBEsol level of DFT.

Calculated values
The calculation puts the energy relative to the elements, uncorrected at -26.0 kJ/mol of atoms. The total energy comes out at -16.6 eV for the cell shown. As for the calculated volume: 15.083 Å³ per atom.

Cell: 2.9777 3.8842 5.2166 Å, 90.00 90.00 90.00°
Last column: nearest neighbours and their distance in Å.
Sites, in units of the cell vectors:
Si1 0.5000 0.5000 0.7734  6 Au 2.54-2.68
Au1 0.0000 0.0000 0.9608  2 Li 2.52-2.70, 4 Si 2.64
Au2 0.5000 0.5000 0.2872  2 Si 2.54-2.68, 4 Li 2.64
Li1 0.0000 0.0000 0.4785  6 Au 2.52-2.70


Entry 6:
Computed, not measured: a relaxed LiSiAu2 crystal at the PBEsol level of DFT.

Calculated values
The calculation puts the energy relative to the elements, uncorrected at -26.9 kJ/mol of atoms. The total energy comes out at -16.7 eV for the cell shown. As for the calculated volume: 15.513 Å³ per atom.

Cell: 2.8617 4.3069 5.2394 Å, 90.00 106.07 90.00°
Last column: nearest neighbours and their distance in Å.
Sites, in units of the cell vectors:
Si1 0.6871 0.5000 0.7483  3 Au 2.45
Au1 0.8014 0.0000 0.9788  2 Si 2.45, 1 Li 2.68
Au2 0.4441 0.5000 0.2611  1 Si 2.45
Li1 0.0674 0.0000 0.5119  7 Au 2.68-2.88, 4 Si 2.85, 2 Li 2.86


Entry 7:
Computed, not measured: a relaxed LiSiAu2 crystal at the PBEsol level of DFT.

Calculated values
The calculation puts the energy relative to the elements, uncorrected at -25.8 kJ/mol of atoms. The total energy comes out at -16.6 eV for the cell shown. As for the calculated volume: 15.125 Å³ per atom.

Cell: 3.4011 3.4011 5.2303 Å, 90.00 90.00 90.00°
Last column: nearest neighbours and their distance in Å.
Sites, in units of the cell vectors:
Si1 0.5000 0.5000 0.7719  6 Au 2.54-2.69, 4 Li 2.85
Au1 0.0000 0.0000 0.9617  2 Li 2.52-2.72, 4 Si 2.60
Au2 0.5000 0.5000 0.2856  2 Si 2.54-2.69, 4 Li 2.61
Li1 0.0000 0.0000 0.4808  6 Au 2.52-2.72


Entry 8:
Computed, not measured: a relaxed Li2SiAu crystal at the PBEsol level of DFT.

Calculated values
The calculation puts the energy relative to the elements, uncorrected at -48.2 kJ/mol of atoms. The total energy comes out at -15.6 eV for the cell shown. As for the calculated volume: 13.527 Å³ per atom.

Cell: 4.2455 4.2455 4.2455 Å, 60.00 60.00 60.00°
Last column: nearest neighbours and their distance in Å.
Sites, in units of the cell vectors:
Si1 0.0000 0.0000 0.0000  4 Li 2.60, 4 Au 2.60
Au1 0.2500 0.2500 0.2500  4 Si 2.60, 4 Li 2.60
Li1 0.5000 0.5000 0.5000  4 Li 2.60, 4 Au 2.60
Li2 0.7500 0.7500 0.7500  4 Li 2.60, 4 Si 2.60


Entry 9:
Computed, not measured: a relaxed LiSiAu crystal at the PBEsol level of DFT.

Calculated values
The calculation puts the energy relative to the elements, uncorrected at 1.7 kJ/mol of atoms. The total energy comes out at -11.6 eV for the cell shown. As for the calculated volume: 15.081 Å³ per atom.

Cell: 3.9997 3.9997 3.9997 Å, 60.00 60.00 60.00°
Last column: nearest neighbours and their distance in Å.
Sites, in units of the cell vectors:
Si1 0.0000 0.0000 0.0000  4 Li 2.45
Au1 0.5000 0.5000 0.5000  4 Li 2.45
Li1 0.7500 0.7500 0.7500  4 Au 2.45, 4 Si 2.45


Entry 10:
Computed, not measured: a relaxed LiSiAu2 crystal at the PBEsol level of DFT.

Calculated values
The calculation puts the energy relative to the elements, uncorrected at -29.8 kJ/mol of atoms. The total energy comes out at -16.8 eV for the cell shown. As for the calculated volume: 14.835 Å³ per atom.

Cell: 3.4334 4.1573 4.1573 Å, 90.00 90.00 90.00°
Last column: nearest neighbours and their distance in Å.
Sites, in units of the cell vectors:
Si1 0.5000 0.0000 0.0000  8 Au 2.70, 4 Li 2.94
Au1 0.0000 0.0000 0.5000  4 Li 2.70, 4 Si 2.70, 4 Au 2.94
Au2 0.0000 0.5000 0.0000  4 Li 2.70, 4 Si 2.70, 4 Au 2.94
Li1 0.5000 0.5000 0.5000  8 Au 2.70, 4 Si 2.94


Entry 11:
Computed, not measured: a relaxed Li2Si2Au crystal at the PBEsol level of DFT.

Calculated values
The calculation puts the energy relative to the elements, uncorrected at -36.2 kJ/mol of atoms. The total energy comes out at -42.5 eV for the cell shown. As for the calculated volume: 16.023 Å³ per atom.

Cell: 4.1744 6.1956 6.1956 Å, 90.00 90.00 90.00°
Last column: nearest neighbours and their distance in Å.
Sites, in units of the cell vectors:
Si1 0.0000 0.3693 0.8693  1 Si 2.29, 2 Au 2.43
Si2 0.0000 0.8693 0.6307  1 Si 2.29, 2 Au 2.43
Si3 0.0000 0.6307 0.1307  1 Si 2.29, 2 Au 2.43
Si4 0.0000 0.1307 0.3693  1 Si 2.29, 2 Au 2.43
Au1 0.0000 0.0000 0.0000  4 Si 2.43
Au2 0.0000 0.5000 0.5000  4 Si 2.43
Li1 0.5000 0.1657 0.6657  6 Si 2.75-2.79, 1 Li 2.90
Li2 0.5000 0.6657 0.8343  6 Si 2.75-2.79, 1 Li 2.90
Li3 0.5000 0.8343 0.3343  6 Si 2.75-2.79, 1 Li 2.90
Li4 0.5000 0.3343 0.1657  6 Si 2.75-2.79, 1 Li 2.90


Entry 12:
Computed, not measured: a relaxed LiSn2Au2 crystal at the PBEsol level of DFT.

Calculated values
The total energy comes out at -39.1 eV for the cell shown. As for the calculated volume: 20.991 Å³ per atom. The calculation puts the energy of formation from the pure elements at -24 kJ per mole of atoms.

Cell: 3.8039 7.4285 7.4285 Å, 90.00 90.00 90.00°
Last column: nearest neighbours and their distance in Å.
Sites, in units of the cell vectors:
Au1 0.0000 0.3624 0.8624  6 Sn 2.79-2.97, 2 Li 2.88, 1 Au 2.89
Au2 0.0000 0.8624 0.6376  6 Sn 2.79-2.97, 2 Li 2.88, 1 Au 2.89
Au3 0.0000 0.6376 0.1376  6 Sn 2.79-2.97, 2 Li 2.88, 1 Au 2.89
Au4 0.0000 0.1376 0.3624  6 Sn 2.79-2.97, 2 Li 2.88, 1 Au 2.89
Sn1 0.5000 0.1680 0.6680  6 Au 2.79-2.97
Sn2 0.5000 0.6680 0.8320  6 Au 2.79-2.97
Sn3 0.5000 0.8320 0.3320  6 Au 2.79-2.97
Sn4 0.5000 0.3320 0.1680  6 Au 2.79-2.97
Li1 0.0000 0.0000 0.0000  4 Au 2.88
Li2 0.0000 0.5000 0.5000  4 Au 2.88


> Among the records above, which one has the lowest calculated volume?

number 8


> Which formula does entry 4 have?

LiSiAu2


> calculated volume of number 1 (LiSiAu4)?

18.505 Å³ per atom